(1)
First-principles (PBE with a Hubbard U) data for an optimized crystal structure of ErMo2O8, as listed in Alexandria via LeMat-Bulk.

a b c (Å): 6.4593 6.4593 6.4593
angles (deg): 135.84 135.84 64.23
Atoms (fractional coordinates):
Er  0.0000  0.0000  0.0000
Mo  0.2500  0.7500  0.5000
Mo  0.7500  0.2500  0.5000
O  0.0910  0.5962  0.9723
O  0.1186  0.0910  0.4948
O  0.3762  0.4038  0.4948
O  0.4038  0.9090  0.0277
O  0.5962  0.6238  0.5052
O  0.6238  0.1186  0.0277
O  0.8814  0.3762  0.9723
O  0.9090  0.8814  0.5052

**Calculated density**: 6.27 Mg/m³
**Total energy**: -6.784 eV per atom

***

(2)
First-principles (PBE with a Hubbard U) data for an optimized crystal structure of ErMoO4, as listed in Alexandria via LeMat-Bulk.

a b c (Å): 4.0892 7.2350 6.2655
angles (deg): 90.00 108.94 90.00
Atoms (fractional coordinates):
Er  0.0645  0.2500  0.1283
Er  0.9355  0.7500  0.8717
Mo  0.2117  0.7500  0.4208
Mo  0.7883  0.2500  0.5792
O  0.1015  0.5665  0.2007
O  0.1015  0.9335  0.2007
O  0.2628  0.2500  0.5268
O  0.3737  0.7500  0.7477
O  0.6263  0.2500  0.2523
O  0.7372  0.7500  0.4732
O  0.8985  0.0665  0.7993
O  0.8985  0.4335  0.7993

**Calculated density**: 6.20 Mg/m³
**Total energy**: -7.681 eV per atom

***

(3)
First-principles (PBE with a Hubbard U) data for an optimized crystal structure of Er3MoO6, as listed in Alexandria via LeMat-Bulk.

a b c (Å): 6.5816 6.5816 6.5816
angles (deg): 92.04 92.04 92.04
Atoms (fractional coordinates):
Er  0.0599  0.5686  0.7529
Er  0.2471  0.9401  0.4314
Er  0.4314  0.2471  0.9401
Er  0.5686  0.7529  0.0599
Er  0.7529  0.0599  0.5686
Er  0.9401  0.4314  0.2471
Mo  0.0000  0.0000  0.0000
Mo  0.5000  0.5000  0.5000
O  0.0326  0.9021  0.6875
O  0.0979  0.3125  0.9674
O  0.1884  0.5921  0.4295
O  0.3125  0.9674  0.0979
O  0.4079  0.5705  0.8116
O  0.4295  0.1884  0.5921
O  0.5705  0.8116  0.4079
O  0.5921  0.4295  0.1884
O  0.6875  0.0326  0.9021
O  0.8116  0.4079  0.5705
O  0.9021  0.6875  0.0326
O  0.9674  0.0979  0.3125

**Calculated density**: 8.10 Mg/m³
**Total energy**: -8.211 eV per atom

***

(4)
First-principles (PBE with a Hubbard U) data for an optimized crystal structure of Er2MoO6, as listed in Alexandria via LeMat-Bulk.

a b c (Å): 5.4291 5.6122 9.4056
angles (deg): 90.00 119.50 90.00
Atoms (fractional coordinates):
Er  0.1875  0.0723  0.2257
Er  0.1875  0.4277  0.7257
Er  0.8125  0.5723  0.2743
Er  0.8125  0.9277  0.7743
Mo  0.5000  0.0000  0.0000
Mo  0.5000  0.5000  0.5000
O  0.1660  0.1812  0.9550
O  0.1660  0.3188  0.4550
O  0.2374  0.7361  0.8837
O  0.2374  0.7639  0.3837
O  0.4692  0.1113  0.7980
O  0.4692  0.3887  0.2980
O  0.5308  0.6113  0.7020
O  0.5308  0.8887  0.2020
O  0.7626  0.2361  0.6163
O  0.7626  0.2639  0.1163
O  0.8340  0.6812  0.5450
O  0.8340  0.8188  0.0450

**Calculated density**: 7.01 Mg/m³
**Total energy**: -7.823 eV per atom

***

(5)
First-principles (PBE with a Hubbard U) data for an optimized crystal structure of Er2MoO6, as listed in Alexandria via LeMat-Bulk.

a b c (Å): 9.8769 9.8769 5.3548
angles (deg): 105.00 105.00 68.03
Atoms (fractional coordinates):
Er  0.0522  0.2831  0.8772
Er  0.1055  0.8945  0.7500
Er  0.2831  0.0522  0.3772
Er  0.3630  0.6370  0.2500
Er  0.6370  0.3630  0.7500
Er  0.7169  0.9478  0.6228
Er  0.8945  0.1055  0.2500
Er  0.9478  0.7169  0.1228
Mo  0.2036  0.4883  0.5619
Mo  0.4883  0.2036  0.0619
Mo  0.5117  0.7964  0.9381
Mo  0.7964  0.5117  0.4381
O  0.0663  0.4754  0.2538
O  0.0726  0.1097  0.0775
O  0.1097  0.0726  0.5775
O  0.1619  0.6937  0.4192
O  0.1747  0.6159  0.8771
O  0.2110  0.3146  0.6368
O  0.3063  0.8381  0.0808
O  0.3146  0.2110  0.1368
O  0.3841  0.8253  0.6229
O  0.3903  0.4521  0.5142
O  0.4521  0.3903  0.0142
O  0.4754  0.0663  0.7538
O  0.5246  0.9337  0.2462
O  0.5479  0.6097  0.9858
O  0.6097  0.5479  0.4858
O  0.6159  0.1747  0.3771
O  0.6854  0.7890  0.8632
O  0.6937  0.1619  0.9192
O  0.7890  0.6854  0.3632
O  0.8253  0.3841  0.1229
O  0.8381  0.3063  0.5808
O  0.8903  0.9274  0.4225
O  0.9274  0.8903  0.9225
O  0.9337  0.5246  0.7462

**Calculated density**: 7.60 Mg/m³
**Total energy**: -7.904 eV per atom

***

(6)
First-principles (PBE with a Hubbard U) data for an optimized crystal structure of ErMoO3, as listed in Alexandria via LeMat-Bulk.

a b c (Å): 6.6845 6.6845 6.0593
angles (deg): 90.00 90.00 151.07
Atoms (fractional coordinates):
Er  0.2115  0.7885  0.7500
Er  0.7885  0.2115  0.2500
Mo  0.5000  0.5000  0.0000
Mo  0.5000  0.5000  0.5000
O  0.0158  0.9842  0.7500
O  0.3361  0.6639  0.0120
O  0.3361  0.6639  0.4880
O  0.6639  0.3361  0.5120
O  0.6639  0.3361  0.9880
O  0.9842  0.0158  0.2500

**Calculated density**: 7.89 Mg/m³
**Total energy**: -7.858 eV per atom

***

(7)
First-principles (PBE with a Hubbard U) data for an optimized crystal structure of ErPaMoO6, as listed in Alexandria via LeMat-Bulk.

a b c (Å): 4.9923 4.9923 10.2420
angles (deg): 90.00 90.00 90.00
Atoms (fractional coordinates):
Er  0.0000  0.0000  0.0000
Er  0.5000  0.5000  0.5000
Pa  0.0000  0.0000  0.3342
Pa  0.5000  0.5000  0.8342
Mo  0.0000  0.0000  0.6674
Mo  0.5000  0.5000  0.1674
O  0.1837  0.1837  0.5074
O  0.1908  0.1908  0.8259
O  0.2056  0.2056  0.1729
O  0.2944  0.7056  0.6729
O  0.3092  0.6908  0.3259
O  0.3163  0.6837  0.0074
O  0.6837  0.3163  0.0074
O  0.6908  0.3092  0.3259
O  0.7056  0.2944  0.6729
O  0.7944  0.7944  0.1729
O  0.8092  0.8092  0.8259
O  0.8163  0.8163  0.5074

**Calculated density**: 7.68 Mg/m³
**Total energy**: -8.627 eV per atom

***

(8)
First-principles (PBE with a Hubbard U) data for an optimized crystal structure of ErMoPbO6, as listed in Alexandria via LeMat-Bulk.

a b c (Å): 5.5572 5.5572 4.8648
angles (deg): 90.00 90.00 120.00
Atoms (fractional coordinates):
Er  0.0000  0.0000  0.0000
Mo  0.3333  0.6667  0.0000
Pb  0.6667  0.3333  0.5000
O  0.0457  0.3692  0.2231
O  0.0457  0.6765  0.7769
O  0.3235  0.3692  0.7769
O  0.3235  0.9543  0.2231
O  0.6308  0.6765  0.2231
O  0.6308  0.9543  0.7769

**Calculated density**: 7.23 Mg/m³
**Total energy**: -6.926 eV per atom

***

(9)
First-principles (PBE with a Hubbard U) data for an optimized crystal structure of Er2MoPbO8, as listed in Alexandria via LeMat-Bulk.

a b c (Å): 4.9626 4.9626 6.8020
angles (deg): 90.00 90.00 92.36
Atoms (fractional coordinates):
Er  0.0000  0.0000  0.2424
Er  0.0000  0.0000  0.7576
Mo  0.5000  0.5000  0.0000
Pb  0.5000  0.5000  0.5000
O  0.2000  0.2000  0.5000
O  0.2174  0.2174  0.0000
O  0.3156  0.6844  0.2147
O  0.3156  0.6844  0.7853
O  0.6844  0.3156  0.2147
O  0.6844  0.3156  0.7853
O  0.7826  0.7826  0.0000
O  0.8000  0.8000  0.5000

**Calculated density**: 7.60 Mg/m³
**Total energy**: -7.187 eV per atom

***

(10)
First-principles (PBE with a Hubbard U) data for an optimized crystal structure of PrEr2MoO8, as listed in Alexandria via LeMat-Bulk.

a b c (Å): 5.0251 5.0251 6.9603
angles (deg): 90.00 90.00 90.40
Atoms (fractional coordinates):
Pr  0.0000  0.0000  0.0000
Er  0.5000  0.5000  0.2606
Er  0.5000  0.5000  0.7394
Mo  0.0000  0.0000  0.5000
O  0.1863  0.8137  0.2956
O  0.1863  0.8137  0.7044
O  0.2781  0.2781  0.5000
O  0.3219  0.3219  0.0000
O  0.6781  0.6781  0.0000
O  0.7219  0.7219  0.5000
O  0.8137  0.1863  0.2956
O  0.8137  0.1863  0.7044

**Calculated density**: 6.61 Mg/m³
**Total energy**: -7.711 eV per atom

***

(11)
First-principles (PBE with a Hubbard U) data for an optimized crystal structure of Rb2ErMo3O12, as listed in Alexandria via LeMat-Bulk.

a b c (Å): 7.5831 7.5831 7.5831
angles (deg): 59.24 59.24 59.24
Atoms (fractional coordinates):
Rb  0.1328  0.1328  0.1328
Rb  0.8672  0.8672  0.8672
Er  0.5000  0.5000  0.5000
Mo  0.0000  0.5000  0.5000
Mo  0.5000  0.0000  0.5000
Mo  0.5000  0.5000  0.0000
O  0.1480  0.5757  0.5757
O  0.1991  0.1991  0.5649
O  0.1991  0.5649  0.1991
O  0.4243  0.4243  0.8520
O  0.4243  0.8520  0.4243
O  0.4351  0.8009  0.8009
O  0.5649  0.1991  0.1991
O  0.5757  0.1480  0.5757
O  0.5757  0.5757  0.1480
O  0.8009  0.4351  0.8009
O  0.8009  0.8009  0.4351
O  0.8520  0.4243  0.4243

**Calculated density**: 4.48 Mg/m³
**Total energy**: -6.698 eV per atom

***

(12)
First-principles (PBE with a Hubbard U) data for an optimized crystal structure of Rb2ErMoO6, as listed in Alexandria via LeMat-Bulk.

a b c (Å): 6.5376 6.5376 5.8093
angles (deg): 90.00 90.00 120.00
Atoms (fractional coordinates):
Rb  0.3333  0.6667  0.3870
Rb  0.6667  0.3333  0.6130
Er  0.0000  0.0000  0.0000
Mo  0.0000  0.0000  0.5000
O  0.1344  0.2688  0.7102
O  0.1344  0.8656  0.7102
O  0.2688  0.1344  0.2898
O  0.7312  0.8656  0.7102
O  0.8656  0.1344  0.2898
O  0.8656  0.7312  0.2898

**Calculated density**: 4.09 Mg/m³
**Total energy**: -6.227 eV per atom

***

(13)
First-principles (PBE with a Hubbard U) data for an optimized crystal structure of Rb3Er3MoO8, as listed in Alexandria via LeMat-Bulk.

a b c (Å): 6.7754 6.7754 7.6716
angles (deg): 116.17 116.17 60.32
Atoms (fractional coordinates):
Rb  0.0000  0.0000  0.0000
Rb  0.0000  0.5000  0.0000
Rb  0.5000  0.0000  0.0000
Er  0.0000  0.5000  0.5000
Er  0.5000  0.0000  0.5000
Er  0.5000  0.5000  0.5000
Mo  0.0000  0.0000  0.5000
O  0.2086  0.2086  0.6633
O  0.2125  0.7401  0.6635
O  0.2599  0.7875  0.3365
O  0.2759  0.2759  0.3301
O  0.7241  0.7241  0.6699
O  0.7401  0.2125  0.6635
O  0.7875  0.2599  0.3365
O  0.7914  0.7914  0.3367

**Calculated density**: 6.20 Mg/m³
**Total energy**: -6.783 eV per atom

***

(14)
First-principles (PBE with a Hubbard U) data for an optimized crystal structure of RbErMo2O8, as listed in Alexandria via LeMat-Bulk.

a b c (Å): 7.5188 7.5188 7.7550
angles (deg): 118.17 118.17 87.83
Atoms (fractional coordinates):
Rb  0.1945  0.8055  0.7500
Rb  0.8055  0.1945  0.2500
Er  0.2280  0.7720  0.2500
Er  0.7720  0.2280  0.7500
Mo  0.3043  0.3061  0.7650
Mo  0.3061  0.3043  0.2650
Mo  0.6939  0.6957  0.7350
Mo  0.6957  0.6939  0.2350
O  0.0486  0.2147  0.7008
O  0.0646  0.3751  0.1196
O  0.2147  0.0486  0.2008
O  0.2340  0.3887  0.5652
O  0.3696  0.5885  0.0364
O  0.3751  0.0646  0.6196
O  0.3887  0.2340  0.0652
O  0.4115  0.6304  0.4636
O  0.5885  0.3696  0.5364
O  0.6113  0.7660  0.9348
O  0.6249  0.9354  0.3804
O  0.6304  0.4115  0.9636
O  0.7660  0.6113  0.4348
O  0.7853  0.9514  0.7992
O  0.9354  0.6249  0.8804
O  0.9514  0.7853  0.2992

**Calculated density**: 5.75 Mg/m³
**Total energy**: -7.102 eV per atom

***

(15)
First-principles (PBE with a Hubbard U) data for an optimized crystal structure of Rb5ErMo4O16, as listed in Alexandria via LeMat-Bulk.

a b c (Å): 11.8571 8.1944 11.4361
angles (deg): 90.00 113.63 90.00
Atoms (fractional coordinates):
Rb  0.0000  0.1176  0.2500
Rb  0.0000  0.8824  0.7500
Rb  0.0913  0.3685  0.6430
Rb  0.0913  0.6315  0.1430
Rb  0.3892  0.1549  0.8438
Rb  0.3892  0.8451  0.3438
Rb  0.6108  0.1549  0.6562
Rb  0.6108  0.8451  0.1562
Rb  0.9087  0.3685  0.8570
Rb  0.9087  0.6315  0.3570
Er  0.5000  0.4123  0.2500
Er  0.5000  0.5877  0.7500
Mo  0.2124  0.1583  0.0552
Mo  0.2124  0.8417  0.5552
Mo  0.3088  0.3495  0.4456
Mo  0.3088  0.6505  0.9456
Mo  0.6912  0.3495  0.0544
Mo  0.6912  0.6505  0.5544
Mo  0.7876  0.1583  0.4448
Mo  0.7876  0.8417  0.9448
O  0.1224  0.2926  0.1052
O  0.1224  0.7074  0.6052
O  0.1509  0.1705  0.8845
O  0.1506  0.3978  0.3961
O  0.1506  0.6022  0.8961
O  0.1509  0.8295  0.3845
O  0.1939  0.0426  0.6059
O  0.1939  0.9574  0.1059
O  0.3303  0.1410  0.4213
O  0.3303  0.8590  0.9213
O  0.3757  0.2230  0.1226
O  0.3755  0.4679  0.3534
O  0.3755  0.5321  0.8534
O  0.3757  0.7770  0.6226
O  0.3886  0.3879  0.6172
O  0.3886  0.6121  0.1172
O  0.6114  0.3879  0.8828
O  0.6114  0.6121  0.3828
O  0.6243  0.2230  0.3774
O  0.6245  0.4679  0.1466
O  0.6245  0.5321  0.6466
O  0.6243  0.7770  0.8774
O  0.6697  0.1410  0.0787
O  0.6697  0.8590  0.5787
O  0.8061  0.0426  0.8941
O  0.8061  0.9574  0.3941
O  0.8491  0.1705  0.6155
O  0.8494  0.3978  0.1039
O  0.8494  0.6022  0.6039
O  0.8491  0.8295  0.1155
O  0.8776  0.2926  0.3948
O  0.8776  0.7074  0.8948

**Calculated density**: 4.03 Mg/m³
**Total energy**: -6.530 eV per atom

***

(16)
First-principles (PBE with a Hubbard U) data for an optimized crystal structure of Er2SbMoO8, as listed in Alexandria via LeMat-Bulk.

a b c (Å): 4.9384 6.5673 4.9422
angles (deg): 90.00 92.13 90.00
Atoms (fractional coordinates):
Er  0.0000  0.2485  0.0000
Er  0.0000  0.7515  0.0000
Sb  0.5000  0.0000  0.5000
Mo  0.5000  0.5000  0.5000
O  0.2126  0.0000  0.2110
O  0.2212  0.5000  0.2198
O  0.3195  0.2486  0.6790
O  0.3195  0.7514  0.6790
O  0.6805  0.2486  0.3210
O  0.6805  0.7514  0.3210
O  0.7788  0.5000  0.7802
O  0.7874  0.0000  0.7890

**Calculated density**: 7.05 Mg/m³
**Total energy**: -7.430 eV per atom